(1)
# Ac4ErSe7

A relaxed Ac4ErSe7 crystal (GGA-PBE, Alexandria via LeMat-Bulk).

For the density of states at the Fermi level, the calculation gives 1.7 states/eV/f.u. The formation energy from raw total energies is -1963 meV per atom. For the raw total energy, the calculation gives -0.211 Ha/atom.

Cell lengths 7.541, 7.541, 12.637 Å; angles 104.71, 104.71, 33.11 degrees
Fractional positions:
Ac 0.000 0.000 0.000
Ac 0.202 0.202 0.770
Ac 0.597 0.597 0.374
Ac 0.897 0.897 0.557
Er 0.775 0.775 0.138
Se 0.170 0.170 0.215
Se 0.236 0.236 0.518
Se 0.363 0.363 0.050
Se 0.558 0.558 0.618
Se 0.631 0.631 0.929
Se 0.857 0.857 0.780
Se 0.933 0.933 0.327


(2)
# AcErSe

A relaxed AcErSe crystal (GGA-PBE, Alexandria via LeMat-Bulk).

For the density of states at the Fermi level, the calculation gives 3.3 states/eV/f.u. The formation energy from raw total energies is -900 meV per atom. For the raw total energy, the calculation gives -0.182 Ha/atom.

Cell lengths 6.888, 6.888, 6.888 Å; angles 147.65, 147.65, 46.40 degrees
Fractional positions:
Ac 0.000 0.000 0.000
Er 0.698 0.698 0.000
Se 0.283 0.283 0.000


(3)
# AcEr4Se8

A relaxed AcEr4Se8 crystal (GGA-PBE, Alexandria via LeMat-Bulk).

For the density of states at the Fermi level, the calculation gives 6.9 states/eV/f.u. The formation energy from raw total energies is -1765 meV per atom. For the raw total energy, the calculation gives -0.207 Ha/atom.

Cell lengths 8.710, 8.710, 8.710 Å; angles 55.35, 55.35, 55.35 degrees
Fractional positions:
Ac 0.000 0.000 0.000
Er 0.000 0.000 0.500
Er 0.000 0.500 0.000
Er 0.500 0.000 0.000
Er 0.500 0.500 0.500
Se 0.238 0.238 0.238
Se 0.243 0.740 0.740
Se 0.260 0.260 0.757
Se 0.260 0.757 0.260
Se 0.740 0.243 0.740
Se 0.740 0.740 0.243
Se 0.757 0.260 0.260
Se 0.762 0.762 0.762


(4)
# AcErSe3

A relaxed AcErSe3 crystal (GGA-PBE, Alexandria via LeMat-Bulk).

The formation energy from raw total energies is -1957 meV per atom. For the raw total energy, the calculation gives -0.212 Ha/atom.

Cell lengths 8.709, 4.224, 15.370 Å; angles 90.00, 90.00, 90.00 degrees
Fractional positions:
Ac 0.129 0.250 0.194
Ac 0.371 0.750 0.694
Ac 0.629 0.250 0.306
Ac 0.871 0.750 0.806
Er 0.184 0.750 0.455
Er 0.316 0.250 0.955
Er 0.684 0.750 0.045
Er 0.816 0.250 0.545
Se 0.001 0.750 0.611
Se 0.158 0.750 0.042
Se 0.159 0.250 0.793
Se 0.341 0.750 0.293
Se 0.342 0.250 0.542
Se 0.499 0.250 0.111
Se 0.501 0.750 0.889
Se 0.658 0.750 0.458
Se 0.659 0.250 0.707
Se 0.841 0.750 0.207
Se 0.842 0.250 0.958
Se 0.999 0.250 0.389


The evaluated M_tot for the records listed, in turn: 0.0, 0.6, 0.0, 0.0 μB/cell.